DFT (PBE) results for IrBr4 after structural relaxation.

a = 6.059 Å, b = 6.059 Å, c = 3.671 Å
α = 90.00°, β = 90.00°, γ = 94.02°
Last column: magnetic moment on the atom in μB.
Fractional positions:
Br 0.297 0.297 0.000  0.02
Br 0.703 0.703 0.000  0.02
Br 0.809 0.191 0.500  0.01
Br 0.191 0.809 0.500  0.01
Ir 0.000 0.000 0.000  0.07

Values from the calculation:
E above lowest polymorph (meV per atom): 9
Size of the total moment (μB/atom): 0.0324
Space-group type: No. 65

DFT (PBE) results for IrBr3 after structural relaxation.

a = 6.398 Å, b = 6.398 Å, c = 6.386 Å
α = 90.00°, β = 90.00°, γ = 120.00°
Fractional positions:
Br 0.650 0.000 0.218
Br 0.350 0.350 0.218
Br 0.000 0.650 0.218
Br 0.350 0.000 0.782
Br 0.000 0.350 0.782
Br 0.650 0.650 0.782
Ir 0.667 0.333 0.000
Ir 0.333 0.667 0.000

Values from the calculation:
E above lowest polymorph (meV per atom): 0
Size of the total moment (μB/atom): 0.0002
Space-group type: No. 162

DFT (PBE) results for IrBr4 after structural relaxation.

a = 7.048 Å, b = 6.819 Å, c = 8.207 Å
α = 55.01°, β = 52.44°, γ = 72.55°
Fractional positions:
Br 0.801 0.195 0.033
Br 0.279 0.217 0.055
Br 0.217 0.279 0.449
Br 0.693 0.259 0.495
Br 0.259 0.693 0.554
Br 0.755 0.696 0.557
Br 0.195 0.801 0.971
Br 0.696 0.755 0.991
Ir 0.263 0.263 0.737
Ir 0.513 0.513 0.987

Values from the calculation:
E above lowest polymorph (meV per atom): 55
Size of the total moment (μB/atom): 0.0215
Space-group type: No. 43

DFT (PBE) results for IrBr4 after structural relaxation.

a = 6.985 Å, b = 6.167 Å, c = 6.424 Å
α = 90.00°, β = 112.31°, γ = 90.00°
Fractional positions:
Br 0.839 0.326 0.104
Br 0.352 0.171 0.116
Br 0.648 0.671 0.384
Br 0.161 0.826 0.396
Br 0.839 0.174 0.604
Br 0.352 0.329 0.616
Br 0.648 0.829 0.884
Br 0.161 0.674 0.896
Ir 0.500 0.500 0.000
Ir 0.500 0.000 0.500

Values from the calculation:
E above lowest polymorph (meV per atom): 49
Size of the total moment (μB/atom): 0.0003
Space-group type: No. 14

DFT (PBE) results for K3IrBr after structural relaxation.

a = 6.056 Å, b = 6.056 Å, c = 6.056 Å
α = 90.00°, β = 90.00°, γ = 90.00°
Last column: magnetic moment on the atom in μB.
Fractional positions:
Br 0.000 0.000 0.000  0.00
Ir 0.500 0.500 0.500  0.96
K 0.500 0.500 0.000  0.00
K 0.500 0.000 0.500  0.00
K 0.000 0.500 0.500  0.01

Values from the calculation:
Size of the total moment (μB/atom): 0.2000
VASP energy (eV/atom): -2.7152
Space-group type: No. 221

DFT (PBE) results for La3IrBr3 after structural relaxation.

a = 10.572 Å, b = 10.572 Å, c = 10.572 Å
α = 109.47°, β = 109.47°, γ = 109.47°
Fractional positions:
Br 0.993 0.507 0.250
Br 0.757 0.743 0.250
Br 0.757 0.514 0.507
Br 0.250 0.993 0.507
Br 0.507 0.757 0.514
Br 0.250 0.757 0.743
Br 0.993 0.986 0.743
Br 0.743 0.250 0.757
Br 0.514 0.507 0.757
Br 0.743 0.993 0.986
Br 0.507 0.250 0.993
Br 0.986 0.743 0.993
Ir 0.250 0.500 0.000
Ir 0.500 0.000 0.250
Ir 0.250 0.250 0.250
Ir 0.000 0.250 0.500
La 0.485 0.750 0.015
La 0.030 0.265 0.015
La 0.265 0.015 0.030
La 0.265 0.750 0.235
La 0.470 0.485 0.235
La 0.750 0.235 0.265
La 0.015 0.030 0.265
La 0.485 0.235 0.470
La 0.750 0.015 0.485
La 0.235 0.470 0.485
La 0.235 0.265 0.750
La 0.015 0.485 0.750

Values from the calculation:
Size of the total moment (μB/atom): 0.0027
VASP energy (eV/atom): -5.6078
Space-group type: No. 214

DFT (PBE) results for Nd2IrBr after structural relaxation.

a = 8.135 Å, b = 8.135 Å, c = 8.135 Å
α = 29.63°, β = 29.63°, γ = 29.63°
Fractional positions:
Br 0.500 0.500 0.500
Ir 0.000 0.000 0.000
Nd 0.269 0.269 0.269
Nd 0.731 0.731 0.731

Values from the calculation:
Size of the total moment (μB/atom): 0.0064
VASP energy (eV/atom): -6.1121
Space-group type: No. 166

DFT (PBE) results for NdIrBr after structural relaxation.

a = 4.328 Å, b = 4.328 Å, c = 11.123 Å
α = 91.38°, β = 91.38°, γ = 60.00°
Fractional positions:
Br 0.319 0.319 0.163
Br 0.681 0.681 0.837
Ir 0.667 0.667 0.496
Ir 0.333 0.333 0.504
Nd 0.993 0.993 0.329
Nd 0.007 0.007 0.671

Values from the calculation:
Size of the total moment (μB/atom): 0.0007
VASP energy (eV/atom): -6.3475
Space-group type: No. 12

DFT (PBE) results for Rb2IrPdBr6 after structural relaxation.

a = 7.440 Å, b = 7.440 Å, c = 7.440 Å
α = 60.00°, β = 60.00°, γ = 60.00°
Last column: magnetic moment on the atom in μB.
Fractional positions:
Br 0.757 0.243 0.243  -0.02
Br 0.243 0.757 0.243  -0.01
Br 0.757 0.757 0.243  -0.02
Br 0.243 0.243 0.757  -0.02
Br 0.757 0.243 0.757  -0.01
Br 0.243 0.757 0.757  -0.02
Ir 0.000 0.000 0.000  -0.22
Pd 0.500 0.500 0.500  -0.07
Rb 0.250 0.250 0.250  0.00
Rb 0.750 0.750 0.750  0.00

Values from the calculation:
Size of the total moment (μB/atom): 0.0425
VASP energy (eV/atom): -3.3440
Space-group type: No. 225

DFT (PBE) results for PrIrBr after structural relaxation.

a = 4.340 Å, b = 4.340 Å, c = 11.211 Å
α = 91.52°, β = 91.52°, γ = 60.01°
Fractional positions:
Br 0.682 0.682 0.338
Br 0.318 0.318 0.662
Ir 0.333 0.333 0.003
Ir 0.667 0.667 0.997
Pr 0.008 0.008 0.171
Pr 0.992 0.992 0.829

Values from the calculation:
Size of the total moment (μB/atom): 0.0007
VASP energy (eV/atom): -6.3459
Space-group type: No. 12

DFT (PBE) results for Rb2TlIrBr6 after structural relaxation.

a = 7.899 Å, b = 7.899 Å, c = 7.899 Å
α = 60.00°, β = 60.00°, γ = 60.00°
Fractional positions:
Br 0.775 0.225 0.225
Br 0.225 0.775 0.225
Br 0.775 0.775 0.225
Br 0.225 0.225 0.775
Br 0.775 0.225 0.775
Br 0.225 0.775 0.775
Ir 0.000 0.000 0.000
Rb 0.250 0.250 0.250
Rb 0.750 0.750 0.750
Tl 0.500 0.500 0.500

Values from the calculation:
Size of the total moment (μB/atom): 0.0004
VASP energy (eV/atom): -3.2666
Space-group type: No. 225

DFT (PBE) results for SbIrBr6 after structural relaxation.

a = 6.835 Å, b = 6.835 Å, c = 6.776 Å
α = 99.86°, β = 99.86°, γ = 120.01°
Fractional positions:
Br 0.948 0.614 0.231
Br 0.543 0.915 0.236
Br 0.245 0.208 0.238
Br 0.792 0.755 0.762
Br 0.085 0.457 0.764
Br 0.386 0.052 0.769
Ir 0.167 0.833 0.000
Sb 0.834 0.166 0.000

Values from the calculation:
Size of the total moment (μB/atom): 0.0001
VASP energy (eV/atom): -3.2826
Space-group type: No. 5

DFT (PBE) results for IrSeBr7 after structural relaxation.

a = 6.506 Å, b = 6.694 Å, c = 15.841 Å
α = 90.00°, β = 104.20°, γ = 90.00°
Last column: magnetic moment on the atom in μB.
Fractional positions:
Br 0.249 0.795 0.093  0.01
Br 0.875 0.415 0.121  0.01
Br 0.556 0.072 0.182  0.11
Br 0.557 0.672 0.330  0.15
Br 0.995 0.224 0.339  0.09
Br 0.222 0.664 0.466  0.01
Br 0.697 0.067 0.482  0.12
Br 0.249 0.205 0.593  0.01
Br 0.875 0.585 0.621  0.01
Br 0.556 0.928 0.682  0.11
Br 0.557 0.328 0.830  0.15
Br 0.995 0.776 0.839  0.10
Br 0.222 0.336 0.966  0.01
Br 0.697 0.933 0.982  0.12
Ir 0.699 0.002 0.333  1.21
Ir 0.699 0.998 0.833  1.21
Se 0.985 0.574 0.004  0.01
Se 0.985 0.426 0.504  0.01

Values from the calculation:
Size of the total moment (μB/atom): 0.2229
VASP energy (eV/atom): -2.6771
Space-group type: No. 7

DFT (PBE) results for IrSe3Br9 after structural relaxation.

a = 12.083 Å, b = 9.610 Å, c = 18.320 Å
α = 90.00°, β = 130.19°, γ = 90.00°
Fractional positions:
Br 0.283 0.725 0.872
Br 0.375 0.405 0.885
Br 0.972 0.356 0.925
Br 0.609 0.869 0.945
Br 0.726 0.505 0.970
Br 0.274 0.495 0.030
Br 0.391 0.131 0.055
Br 0.028 0.644 0.075
Br 0.625 0.595 0.115
Br 0.717 0.275 0.128
Br 0.025 0.266 0.136
Br 0.212 0.973 0.154
Br 0.901 0.930 0.192
Br 0.404 0.355 0.250
Br 0.596 0.855 0.250
Br 0.099 0.430 0.308
Br 0.788 0.473 0.346
Br 0.975 0.766 0.364
Br 0.283 0.775 0.372
Br 0.375 0.095 0.385
Br 0.972 0.144 0.425
Br 0.609 0.631 0.445
Br 0.726 0.995 0.470
Br 0.274 0.005 0.530
Br 0.391 0.369 0.555
Br 0.028 0.856 0.575
Br 0.625 0.905 0.615
Br 0.717 0.225 0.628
Br 0.025 0.234 0.636
Br 0.212 0.527 0.654
Br 0.901 0.570 0.692
Br 0.404 0.145 0.750
Br 0.596 0.645 0.750
Br 0.099 0.070 0.808
Br 0.788 0.027 0.846
Br 0.975 0.734 0.864
Ir 0.753 0.246 0.007
Ir 0.247 0.746 0.493
Ir 0.753 0.254 0.507
Ir 0.247 0.754 0.993
Se 0.827 0.006 0.042
Se 0.502 0.805 0.090
Se 0.250 0.741 0.126
Se 0.750 0.241 0.374
Se 0.498 0.305 0.410
Se 0.173 0.506 0.458
Se 0.827 0.494 0.542
Se 0.502 0.695 0.590
Se 0.250 0.759 0.626
Se 0.750 0.259 0.874
Se 0.498 0.195 0.910
Se 0.173 0.994 0.958

Values from the calculation:
E above lowest polymorph (meV per atom): 4
Size of the total moment (μB/atom): 0.0004
Space-group type: No. 14

DFT (PBE) results for IrSe3Br9 after structural relaxation.

a = 7.918 Å, b = 8.359 Å, c = 13.371 Å
α = 81.97°, β = 85.42°, γ = 67.64°
Fractional positions:
Br 0.341 0.875 0.066
Br 0.376 0.409 0.100
Br 0.833 0.559 0.115
Br 0.887 0.083 0.182
Br 0.577 0.976 0.253
Br 0.259 0.775 0.358
Br 0.392 0.372 0.368
Br 0.839 0.490 0.394
Br 0.746 0.940 0.464
Br 0.254 0.060 0.536
Br 0.161 0.510 0.606
Br 0.608 0.628 0.632
Br 0.741 0.225 0.642
Br 0.423 0.024 0.747
Br 0.113 0.917 0.818
Br 0.167 0.441 0.885
Br 0.624 0.591 0.900
Br 0.659 0.125 0.934
Ir 0.276 0.227 0.248
Ir 0.724 0.773 0.752
Se 0.149 0.150 0.113
Se 0.034 0.510 0.251
Se 0.133 0.081 0.375
Se 0.867 0.919 0.625
Se 0.966 0.490 0.749
Se 0.851 0.850 0.887

Values from the calculation:
E above lowest polymorph (meV per atom): 0
Size of the total moment (μB/atom): 0.0009
Space-group type: No. 2

DFT (PBE) results for IrSe3Br9 after structural relaxation.

a = 8.609 Å, b = 12.898 Å, c = 16.319 Å
α = 90.00°, β = 117.78°, γ = 90.00°
Fractional positions:
Br 0.381 0.765 0.008
Br 0.030 0.708 0.032
Br 0.747 0.494 0.034
Br 0.342 0.094 0.086
Br 0.995 0.000 0.138
Br 0.640 0.604 0.205
Br 0.238 0.502 0.215
Br 0.388 0.832 0.240
Br 0.982 0.256 0.245
Br 0.018 0.756 0.255
Br 0.612 0.332 0.260
Br 0.762 0.002 0.285
Br 0.360 0.104 0.295
Br 0.005 0.500 0.362
Br 0.658 0.594 0.414
Br 0.253 0.994 0.466
Br 0.970 0.208 0.468
Br 0.619 0.265 0.492
Br 0.381 0.735 0.508
Br 0.030 0.792 0.532
Br 0.747 0.006 0.534
Br 0.342 0.406 0.586
Br 0.995 0.500 0.638
Br 0.640 0.896 0.705
Br 0.238 0.998 0.715
Br 0.388 0.668 0.740
Br 0.982 0.244 0.745
Br 0.018 0.744 0.755
Br 0.612 0.168 0.760
Br 0.762 0.498 0.785
Br 0.360 0.396 0.795
Br 0.005 0.000 0.862
Br 0.658 0.906 0.914
Br 0.253 0.506 0.966
Br 0.970 0.292 0.968
Br 0.619 0.235 0.992
Ir 0.704 0.761 0.131
Ir 0.296 0.261 0.369
Ir 0.704 0.739 0.631
Ir 0.296 0.239 0.869
Se 0.738 0.674 0.008
Se 0.709 0.929 0.072
Se 0.315 0.322 0.231
Se 0.685 0.822 0.269
Se 0.291 0.429 0.428
Se 0.262 0.174 0.492
Se 0.738 0.826 0.508
Se 0.709 0.571 0.572
Se 0.315 0.178 0.731
Se 0.685 0.678 0.769
Se 0.291 0.071 0.928
Se 0.262 0.326 0.992

Values from the calculation:
E above lowest polymorph (meV per atom): 22
Size of the total moment (μB/atom): 0.0006
Space-group type: No. 14

DFT (PBE) results for YIrBr6 after structural relaxation.

a = 6.646 Å, b = 6.646 Å, c = 6.827 Å
α = 99.56°, β = 99.56°, γ = 119.83°
Fractional positions:
Br 0.612 0.940 0.234
Br 0.909 0.547 0.237
Br 0.219 0.252 0.240
Br 0.748 0.781 0.760
Br 0.453 0.091 0.763
Br 0.060 0.388 0.766
Ir 0.834 0.166 0.000
Y 0.166 0.834 0.000

Values from the calculation:
Size of the total moment (μB/atom): 0.0004
VASP energy (eV/atom): -4.2009
Space-group type: No. 5

DFT (PBE) results for Zr2IrBr2 after structural relaxation.

a = 3.952 Å, b = 3.952 Å, c = 14.749 Å
α = 90.00°, β = 90.00°, γ = 103.20°
Last column: magnetic moment on the atom in μB.
Fractional positions:
Br 0.753 0.247 0.067  0.00
Br 0.753 0.247 0.433  0.00
Br 0.247 0.753 0.567  0.00
Br 0.247 0.753 0.933  0.00
Ir 0.986 0.014 0.250  0.01
Ir 0.014 0.986 0.750  0.01
Zr 0.330 0.670 0.156  0.07
Zr 0.330 0.670 0.344  0.07
Zr 0.670 0.330 0.656  0.07
Zr 0.670 0.330 0.844  0.07

Values from the calculation:
Size of the total moment (μB/atom): 0.0411
VASP energy (eV/atom): -6.4300
Space-group type: No. 63